# Fe2ClF2 (PBE with a Hubbard U, relaxed)
data_Fe2ClF2
_chemical_formula_sum 'Fe4 Cl2 F4'
_symmetry_space_group_name_H-M 'I 4/m m m'
_symmetry_Int_Tables_number 139
_symmetry_space_group_name_Hall '-I 4 2'
_cell_length_a 3.809
_cell_length_b 3.809
_cell_length_c 9.302
_cell_angle_alpha 90.00
_cell_angle_beta 90.00
_cell_angle_gamma 90.00
loop_
_atom_site_label
_atom_site_type_symbol
_atom_site_fract_x
_atom_site_fract_y
_atom_site_fract_z
Fe1 Fe 0.000 0.000 0.124
Cl1 Cl 0.000 0.000 0.500
F1 F 0.000 0.500 0.250
# - spin magnetization (Bohr magnetons per cell) = 14.26
# - relative energy among the computed polymorphs (kJ/mol of formula units) = 47